## Al2IrO (PBE)

Data for a geometry-optimized Al2IrO structure. Values from VASP.

Summary:
Electronic total energy ... -6.5167 eV per atom

Cell and atoms, written as Quantum ESPRESSO input:
```
&SYSTEM
  ibrav = 0, nat = 8, ntyp = 3
/
ATOMIC_SPECIES
Al 26.98 Al.upf
Ir 192.22 Ir.upf
O 16.00 O.upf
ATOMIC_POSITIONS crystal
Al 0.0447 0.6250 0.9197
Al 0.3750 0.2947 0.4197
Al 0.7053 0.1250 0.0803
Al 0.8750 0.9553 0.5803
Ir 0.2500 0.7500 0.5000
Ir 0.5000 0.5000 0.0000
O 0.0000 0.0000 0.0000
O 0.7500 0.2500 0.5000
CELL_PARAMETERS angstrom
-2.8467 2.8467 3.2654
2.8467 -2.8467 3.2654
2.8467 2.8467 -3.2654
```



## AlIr2PbO (PBE)

Data for a geometry-optimized AlIr2PbO structure. Values from VASP.

Summary:
Electronic total energy ... -4.6677 eV per atom

Cell and atoms, written as Quantum ESPRESSO input:
```
&SYSTEM
  ibrav = 0, nat = 5, ntyp = 4
/
ATOMIC_SPECIES
Al 26.98 Al.upf
Ir 192.22 Ir.upf
Pb 207.20 Pb.upf
O 16.00 O.upf
ATOMIC_POSITIONS crystal
Al 0.0000 0.0000 0.0000
Ir 0.0000 0.5000 0.5000
Ir 0.5000 0.0000 0.5000
Pb 0.5000 0.5000 0.5000
O 0.5000 0.5000 0.0000
CELL_PARAMETERS angstrom
5.0824 0.0000 0.0000
0.0000 5.0824 0.0000
0.0000 0.0000 4.0763
```



## Al2IrPbO8 (PBE)

Data for a geometry-optimized Al2IrPbO8 structure. Values from VASP.

Summary:
Electronic total energy ... -6.5638 eV per atom

Cell and atoms, written as Quantum ESPRESSO input:
```
&SYSTEM
  ibrav = 0, nat = 12, ntyp = 4
/
ATOMIC_SPECIES
Al 26.98 Al.upf
Ir 192.22 Ir.upf
Pb 207.20 Pb.upf
O 16.00 O.upf
ATOMIC_POSITIONS crystal
Al 0.0000 0.0000 0.2494
Al 0.0000 0.0000 0.7506
Ir 0.5000 0.5000 0.5000
Pb 0.5000 0.5000 0.0000
O 0.1735 0.1735 0.0000
O 0.1998 0.1998 0.5000
O 0.2896 0.7104 0.2776
O 0.2896 0.7104 0.7224
O 0.7104 0.2896 0.2776
O 0.7104 0.2896 0.7224
O 0.8002 0.8002 0.5000
O 0.8265 0.8265 0.0000
CELL_PARAMETERS angstrom
3.2230 -3.2394 0.0000
3.2230 3.2394 0.0000
0.0000 0.0000 6.2876
```



## AlIrPbO6 (PBE)

Data for a geometry-optimized AlIrPbO6 structure. Values from VASP.

Summary:
Electronic total energy ... -6.4891 eV per atom

Cell and atoms, written as Quantum ESPRESSO input:
```
&SYSTEM
  ibrav = 0, nat = 18, ntyp = 4
/
ATOMIC_SPECIES
Al 26.98 Al.upf
Ir 192.22 Ir.upf
Pb 207.20 Pb.upf
O 16.00 O.upf
ATOMIC_POSITIONS crystal
Al 0.3333 0.6667 0.2500
Al 0.6667 0.3333 0.7500
Ir 0.3333 0.6667 0.7500
Ir 0.6667 0.3333 0.2500
Pb 0.0000 0.0000 0.0000
Pb 0.0000 0.0000 0.5000
O 0.0060 0.3730 0.1404
O 0.0060 0.6330 0.3596
O 0.3670 0.3730 0.3596
O 0.3670 0.9940 0.1404
O 0.3730 0.0060 0.6404
O 0.3730 0.3670 0.8596
O 0.6270 0.6330 0.1404
O 0.6270 0.9940 0.3596
O 0.6330 0.0060 0.8596
O 0.6330 0.6270 0.6404
O 0.9940 0.3670 0.6404
O 0.9940 0.6270 0.8596
CELL_PARAMETERS angstrom
5.1205 0.0000 0.0000
-2.5603 4.4345 0.0000
0.0000 0.0000 9.6113
```



Summary of size of the total moment in μB/cell
0.00; 0.47; 0.03; 2.55
(order as listed above)